1.
# InAuOF2 PBE relaxed
# Calculated density: 7978 kg/m3
# Excess energy over the best structure of this formula in the dataset: 0 meV/atom
# Formation energy (no corrections): -5.7 eV/f.u.
# Calculated total energy: -20.4 eV per formula unit
# Total magnetization: 0.0 μB per cell
data_InAuOF2
_chemical_formula_sum 'In1 Au1 O1 F2'
_cell_length_a 4.253
_cell_length_b 4.253
_cell_length_c 4.208
_cell_angle_alpha 90.00
_cell_angle_beta 90.00
_cell_angle_gamma 90.00
_symmetry_space_group_name_H-M 'P 4/m m m'
_symmetry_Int_Tables_number 123
_symmetry_space_group_name_Hall '-P 4 2'
loop_
_atom_site_label
_atom_site_type_symbol
_atom_site_fract_x
_atom_site_fract_y
_atom_site_fract_z
In1 In 0.000 0.000 0.000
Au1 Au 0.500 0.500 0.500
O1 O 0.000 0.000 0.500
F1 F 0.000 0.500 0.000


2.
# InAuO2F PBE relaxed
# Calculated density: 7952 kg/m3
# Formation energy (no corrections): -1.5 eV/f.u.
# Calculated total energy: -19.3 eV per formula unit
# Total magnetization: 0.0 μB per cell
data_InAuO2F
_chemical_formula_sum 'In1 Au1 O2 F1'
_cell_length_a 4.126
_cell_length_b 4.126
_cell_length_c 4.451
_cell_angle_alpha 90.00
_cell_angle_beta 90.00
_cell_angle_gamma 90.00
_symmetry_space_group_name_H-M 'P 4/m m m'
_symmetry_Int_Tables_number 123
_symmetry_space_group_name_Hall '-P 4 2'
loop_
_atom_site_label
_atom_site_type_symbol
_atom_site_fract_x
_atom_site_fract_y
_atom_site_fract_z
In1 In 0.000 0.000 0.000
Au1 Au 0.500 0.500 0.500
O1 O 0.000 0.500 0.500
F1 F 0.500 0.500 0.000


3.
# InOsAu2F PBE relaxed
# Calculated density: 9116 kg/m3
# Formation energy (no corrections): 3.4 eV/f.u.
# Calculated total energy: -19.0 eV per formula unit
# Total magnetization: 0.0 μB per cell
data_InOsAu2F
_chemical_formula_sum 'In1 Os1 Au2 F1'
_cell_length_a 4.955
_cell_length_b 4.955
_cell_length_c 5.326
_cell_angle_alpha 90.00
_cell_angle_beta 90.00
_cell_angle_gamma 90.00
_symmetry_space_group_name_H-M 'P 4/m m m'
_symmetry_Int_Tables_number 123
_symmetry_space_group_name_Hall '-P 4 2'
loop_
_atom_site_label
_atom_site_type_symbol
_atom_site_fract_x
_atom_site_fract_y
_atom_site_fract_z
In1 In 0.000 0.000 0.000
Os1 Os 0.000 0.000 0.500
Au1 Au 0.000 0.500 0.500
F1 F 0.500 0.500 0.000


4.
# Rb2InAuF6 PBE relaxed
# Calculated density: 4886 kg/m3
# Formation energy (no corrections): -22.1 eV/f.u.
# Calculated total energy: -41.3 eV per formula unit
# Total magnetization: 0.0 μB per cell
data_Rb2InAuF6
_chemical_formula_sum 'Rb4 In2 Au2 F12'
_cell_length_a 6.901
_cell_length_b 6.901
_cell_length_c 8.516
_cell_angle_alpha 90.00
_cell_angle_beta 90.00
_cell_angle_gamma 90.00
_symmetry_space_group_name_H-M 'I 4/m m m'
_symmetry_Int_Tables_number 139
_symmetry_space_group_name_Hall '-I 4 2'
loop_
_atom_site_label
_atom_site_type_symbol
_atom_site_fract_x
_atom_site_fract_y
_atom_site_fract_z
Rb1 Rb 0.000 0.500 0.250
In1 In 0.000 0.000 0.000
Au1 Au 0.000 0.000 0.500
F1 F 0.000 0.000 0.255
F2 F 0.212 0.212 0.000


5.
# RbInAuF2 PBE relaxed
# Calculated density: 4414 kg/m3
# Formation energy (no corrections): -3.4 eV/f.u.
# Calculated total energy: -14.2 eV per formula unit
# Total magnetization: 0.6 μB per cell
data_RbInAuF2
_chemical_formula_sum 'Rb1 In1 Au1 F2'
_cell_length_a 4.744
_cell_length_b 4.744
_cell_length_c 7.276
_cell_angle_alpha 90.00
_cell_angle_beta 90.00
_cell_angle_gamma 90.00
_symmetry_space_group_name_H-M 'P 4/m m m'
_symmetry_Int_Tables_number 123
_symmetry_space_group_name_Hall '-P 4 2'
loop_
_atom_site_label
_atom_site_type_symbol
_atom_site_fract_x
_atom_site_fract_y
_atom_site_fract_z
Rb1 Rb 0.000 0.000 0.000
In1 In 0.000 0.000 0.500
Au1 Au 0.500 0.500 0.500
F1 F 0.000 0.500 0.000


6.
# InSiAuF2 PBE relaxed
# Calculated density: 6539 kg/m3
# Formation energy (no corrections): -4.2 eV/f.u.
# Calculated total energy: -19.4 eV per formula unit
# Total magnetization: 0.0 μB per cell
data_InSiAuF2
_chemical_formula_sum 'In1 Si1 Au1 F2'
_cell_length_a 4.102
_cell_length_b 4.102
_cell_length_c 5.703
_cell_angle_alpha 90.00
_cell_angle_beta 90.00
_cell_angle_gamma 90.00
_symmetry_space_group_name_H-M 'P 4/m m m'
_symmetry_Int_Tables_number 123
_symmetry_space_group_name_Hall '-P 4 2'
loop_
_atom_site_label
_atom_site_type_symbol
_atom_site_fract_x
_atom_site_fract_y
_atom_site_fract_z
In1 In 0.000 0.000 0.000
Si1 Si 0.000 0.000 0.500
Au1 Au 0.500 0.500 0.500
F1 F 0.000 0.500 0.000


7.
# InSnAuF2 PBE relaxed
# Calculated density: 7272 kg/m3
# Formation energy (no corrections): -6.5 eV/f.u.
# Calculated total energy: -20.3 eV per formula unit
# Total magnetization: 0.0 μB per cell
data_InSnAuF2
_chemical_formula_sum 'In1 Sn1 Au1 F2'
_cell_length_a 4.432
_cell_length_b 4.432
_cell_length_c 5.446
_cell_angle_alpha 90.00
_cell_angle_beta 90.00
_cell_angle_gamma 90.00
_symmetry_space_group_name_H-M 'P 4/m m m'
_symmetry_Int_Tables_number 123
_symmetry_space_group_name_Hall '-P 4 2'
loop_
_atom_site_label
_atom_site_type_symbol
_atom_site_fract_x
_atom_site_fract_y
_atom_site_fract_z
In1 In 0.000 0.000 0.000
Sn1 Sn 0.500 0.500 0.500
Au1 Au 0.500 0.500 0.000
F1 F 0.000 0.500 0.500


8.
# SrInAu2F PBE relaxed
# Calculated density: 2899 kg/m3
# Formation energy (no corrections): 0.2 eV/f.u.
# Calculated total energy: -12.6 eV per formula unit
# Total magnetization: 0.0 μB per cell
data_SrInAu2F
_chemical_formula_sum 'Sr1 In1 Au2 F1'
_cell_length_a 5.672
_cell_length_b 5.672
_cell_length_c 10.957
_cell_angle_alpha 90.00
_cell_angle_beta 90.00
_cell_angle_gamma 90.00
_symmetry_space_group_name_H-M 'P 4/m m m'
_symmetry_Int_Tables_number 123
_symmetry_space_group_name_Hall '-P 4 2'
loop_
_atom_site_label
_atom_site_type_symbol
_atom_site_fract_x
_atom_site_fract_y
_atom_site_fract_z
Sr1 Sr 0.000 0.000 0.000
In1 In 0.000 0.000 0.500
Au1 Au 0.000 0.500 0.000
F1 F 0.500 0.500 0.500